# 1
Y3ErAu2: optimized geometry, PBE.

Geometry as POSCAR:
```
Y3ErAu2
1.0
7.018 0.000 0.000
0.000 7.325 0.000
-3.509 -3.663 6.937
Y Au Er
6 4 2
direct
0.233 0.483 0.465 Y
0.767 0.517 0.535 Y
0.767 0.017 0.535 Y
0.500 0.750 0.000 Y
0.500 0.250 0.000 Y
0.233 0.983 0.465 Y
0.152 0.860 0.719 Au
0.567 0.360 0.719 Au
0.433 0.640 0.281 Au
0.848 0.140 0.281 Au
0.000 0.500 0.000 Er
0.000 0.000 0.000 Er
```

Calculated values
energy above the most stable polymorph in this dataset = 180 meV per atom
E_form = -464.3 meV per atom
space-group type = No. 72
M_tot = 0.000 μB per atom
theoretical density = 7.71 Mg/m³

=====

# 2
Hf3NbCd: optimized geometry, PBE.

Geometry as POSCAR:
```
Hf3NbCd
1.0
5.096 0.000 0.000
0.000 5.096 0.000
0.000 0.000 5.096
Nb Cd Hf
1 1 3
direct
0.000 0.000 0.000 Nb
0.500 0.500 0.500 Cd
0.500 0.000 0.000 Hf
0.000 0.500 0.000 Hf
0.000 0.000 0.500 Hf
```

Calculated values
energy above the most stable polymorph in this dataset = 0 meV per atom
E_form = 961.4 meV per atom
space-group type = No. 221
M_tot = 0.000 μB per atom
theoretical density = 9.29 Mg/m³